No. 1
The following is a GGA-PBE calculation of crystalline YScSb2 at its relaxed geometry, from Alexandria.

Computed properties:
**Energy relative to the lowest polymorph listed for this composition**: 295 meV per atom
**V**: 25.30 Å³ per atom

```
data_YScSb2
_chemical_formula_sum 'Y1 Sc1 Sb2'
_space_group_name_H-M_alt 'P m m m'
_space_group_IT_number 47
_cell_length_a 3.2742
_cell_length_b 3.9251
_cell_length_c 7.8743
_cell_angle_alpha 90.00
_cell_angle_beta 90.00
_cell_angle_gamma 90.00
loop_
_space_group_symop_operation_xyz
'x,y,z'
'-x,-y,-z'
'-x,-y,z'
'x,y,-z'
'x,-y,-z'
'-x,y,z'
'-x,y,-z'
'x,-y,z'
loop_
_atom_site_label
_atom_site_fract_x
_atom_site_fract_y
_atom_site_fract_z
Y1 0.0000 0.0000 0.0000
Sc1 0.0000 0.0000 0.5000
Sb1 0.5000 0.5000 0.2623
```

***

No. 2
The following is a GGA-PBE calculation of crystalline YSc2Sb at its relaxed geometry, from Alexandria.

Computed properties:
**E_tot**: -6.13 eV/atom
**V**: 25.29 Å³ per atom

```
data_YSc2Sb
_chemical_formula_sum 'Y2 Sc4 Sb2'
_space_group_name_H-M_alt 'C 1 2/m 1'
_space_group_IT_number 12
_cell_length_a 6.3062
_cell_length_b 10.5208
_cell_length_c 3.3431
_cell_angle_alpha 90.00
_cell_angle_beta 114.19
_cell_angle_gamma 90.00
loop_
_space_group_symop_operation_xyz
'x,y,z'
'-x,-y,-z'
'-x,y,-z'
'x,-y,z'
'x+1/2,y+1/2,z'
'-x+1/2,-y+1/2,-z'
'-x+1/2,y+1/2,-z'
'x+1/2,-y+1/2,z'
loop_
_atom_site_label
_atom_site_fract_x
_atom_site_fract_y
_atom_site_fract_z
Y1 0.0000 0.0000 0.0000
Sc1 0.2500 0.2500 0.5000
Sb1 0.0000 0.5000 0.0000
```

***

No. 3
The following is a GGA-PBE calculation of crystalline YSc3Sb4 at its relaxed geometry, from Alexandria.

Computed properties:
**E_tot**: -6.23 eV/atom
**V**: 26.65 Å³ per atom

```
data_YSc3Sb4
_chemical_formula_sum 'Y2 Sc6 Sb8'
_space_group_name_H-M_alt 'C m m m'
_space_group_IT_number 65
_space_group_name_Hall '-C 2 2'
_cell_length_a 8.4473
_cell_length_b 11.9472
_cell_length_c 4.2249
_cell_angle_alpha 90.00
_cell_angle_beta 90.00
_cell_angle_gamma 90.00
loop_
_atom_site_label
_atom_site_fract_x
_atom_site_fract_y
_atom_site_fract_z
Y1 0.0000 0.0000 0.0000
Sc1 0.0000 0.5000 0.0000
Sc2 0.2500 0.2500 0.5000
Sb1 0.0000 0.2553 0.0000
Sb2 0.2395 0.5000 0.5000
```

***

No. 4
The following is a GGA-PBE calculation of crystalline Y4ScSb5 at its relaxed geometry, from Alexandria.

Computed properties:
**E_tot**: -6.39 eV/atom
**V**: 29.10 Å³ per atom

```
data_Y4ScSb5
_chemical_formula_sum 'Y8 Sc2 Sb10'
_space_group_name_H-M_alt 'I 4/m'
_space_group_IT_number 87
_space_group_name_Hall '-I 4'
_cell_length_a 9.7193
_cell_length_b 9.7193
_cell_length_c 6.1609
_cell_angle_alpha 90.00
_cell_angle_beta 90.00
_cell_angle_gamma 90.00
loop_
_atom_site_label
_atom_site_fract_x
_atom_site_fract_y
_atom_site_fract_z
Y1 0.0964 0.3010 0.0000
Sc1 0.0000 0.0000 0.5000
Sb1 0.0000 0.0000 0.0000
Sb2 0.0983 0.2916 0.5000
```

***

No. 5
The following is a GGA-PBE calculation of crystalline Y5ScSb6 at its relaxed geometry, from Alexandria.

Computed properties:
**E_tot**: -6.40 eV/atom
**V**: 29.21 Å³ per atom

```
data_Y5ScSb6
_chemical_formula_sum 'Y10 Sc2 Sb12'
_space_group_name_H-M_alt 'C 1 2/m 1'
_space_group_IT_number 12
_cell_length_a 7.5439
_cell_length_b 13.0696
_cell_length_c 7.5443
_cell_angle_alpha 90.00
_cell_angle_beta 109.51
_cell_angle_gamma 90.00
loop_
_space_group_symop_operation_xyz
'x,y,z'
'-x,-y,-z'
'-x,y,-z'
'x,-y,z'
'x+1/2,y+1/2,z'
'-x+1/2,-y+1/2,-z'
'-x+1/2,y+1/2,-z'
'x+1/2,-y+1/2,z'
loop_
_atom_site_label
_atom_site_fract_x
_atom_site_fract_y
_atom_site_fract_z
Y1 0.0000 0.0000 0.0000
Y2 0.0000 0.1655 0.5000
Y3 0.0000 0.3299 0.0000
Sc1 0.0000 0.5000 0.5000
Sb1 0.2421 0.5000 0.2526
Sb2 0.2435 0.3374 0.7439
```

***

No. 6
The following is a GGA-PBE calculation of crystalline YScSb2 at its relaxed geometry, from Alexandria.

Computed properties:
**Energy relative to the lowest polymorph listed for this composition**: 0 meV per atom
**V**: 27.68 Å³ per atom

```
data_YScSb2
_chemical_formula_sum 'Y3 Sc3 Sb6'
_space_group_name_H-M_alt 'R -3 m'
_space_group_IT_number 166
_space_group_name_Hall '-R 3 2"'
_cell_length_a 4.2868
_cell_length_b 4.2868
_cell_length_c 20.8683
_cell_angle_alpha 90.00
_cell_angle_beta 90.00
_cell_angle_gamma 120.00
loop_
_atom_site_label
_atom_site_fract_x
_atom_site_fract_y
_atom_site_fract_z
Y1 0.0000 0.0000 0.0000
Sc1 0.0000 0.0000 0.5000
Sb1 0.0000 0.0000 0.2448
```

***

> Which value of V does entry 4 give?

29.10 Å³ per atom

***

Copy entry 3 word for word.
The following is a GGA-PBE calculation of crystalline YSc3Sb4 at its relaxed geometry, from Alexandria.

Computed properties:
**E_tot**: -6.23 eV/atom
**V**: 26.65 Å³ per atom

```
data_YSc3Sb4
_chemical_formula_sum 'Y2 Sc6 Sb8'
_space_group_name_H-M_alt 'C m m m'
_space_group_IT_number 65
_space_group_name_Hall '-C 2 2'
_cell_length_a 8.4473
_cell_length_b 11.9472
_cell_length_c 4.2249
_cell_angle_alpha 90.00
_cell_angle_beta 90.00
_cell_angle_gamma 90.00
loop_
_atom_site_label
_atom_site_fract_x
_atom_site_fract_y
_atom_site_fract_z
Y1 0.0000 0.0000 0.0000
Sc1 0.0000 0.5000 0.0000
Sc2 0.2500 0.2500 0.5000
Sb1 0.0000 0.2553 0.0000
Sb2 0.2395 0.5000 0.5000
```

***

> V of number 4 (Y4ScSb5)?

29.10 Å³ per atom

***

> Which value of V does entry 1 give?

25.30 Å³ per atom